This record from the Alexandria database describes crystalline TaCo2Ag at its relaxed geometry. The functional is PBE.

final energy	-7.02	eV/atom
calculated formation energy	0.206	eV per atom
spin magnetization	3.0	μB per formula unit
ρ	11726	kg/m3
distance to the lowest polymorph of the same formula	174	meV per atom

Structure (POSCAR):
```
TaCo2Ag
1.0
2.7636 0.0000 0.0000
0.0000 2.7636 0.0000
0.0000 0.0000 7.5401
Ta Co Ag
1 2 1
Cartesian
0.0000 0.0000 0.0000
0.0000 0.0000 4.2742
1.3818 1.3818 5.6645
1.3818 1.3818 2.2840
```

This record from the Alexandria database describes crystalline Rb3Li2TbF9 at its relaxed geometry. The functional is PBE.

E_form (uncorrected)	-286.59	kJ per mole of atoms
final energy	-4.85	eV/atom
spin magnetization	1.2	μB per formula unit
ρ	4154	kg/m3

Structure (POSCAR):
```
Rb3Li2TbF9
1.0
6.0223 0.0000 0.0000
-3.0111 5.2155 0.0000
0.0000 0.0000 7.6393
Rb Li Tb F
3 2 1 9
Cartesian
0.0000 0.0000 0.0000
0.0000 3.4770 5.3079
3.0112 1.7385 2.3313
0.0000 3.4770 1.4498
3.0112 1.7385 6.1895
0.0000 0.0000 3.8196
-1.5056 2.6077 0.0000
0.0000 1.7702 2.5212
-1.4781 4.3304 2.5212
1.5330 0.8851 5.1181
3.0111 0.0000 0.0000
1.5056 2.6077 0.0000
1.4781 4.3304 2.5212
4.4893 0.8851 5.1181
3.0111 3.4453 5.1181
```